Below is Ho2As7Rh12 after structural relaxation, with properties calculated at the GGA-PBE level.

CIF file:
```
data_Ho2As7Rh12
_symmetry_space_group_name_H-M 'P -3'
_symmetry_Int_Tables_number 147
_cell_length_a 9.9772
_cell_length_b 9.9772
_cell_length_c 3.9143
_cell_angle_alpha 90.00
_cell_angle_beta 90.00
_cell_angle_gamma 120.00
loop_
_symmetry_equiv_pos_as_xyz
'x,y,z'
'-x,-y,-z'
'-y,x-y,z'
'y,-x+y,-z'
'-x+y,-x,z'
'x-y,x,-z'
loop_
_atom_site_label
_atom_site_type_symbol
_atom_site_fract_x
_atom_site_fract_y
_atom_site_fract_z
Ho1 Ho 0.3333 0.6667 0.2489
As1 As 0.0000 0.0000 0.5000
As2 As 0.1181 0.7122 0.7508
Rh1 Rh 0.0672 0.4485 0.7498
Rh2 Rh 0.1150 0.2639 0.2473
```

Results
The value obtained for the final energy is -6.89 eV/atom. For the magnetic moment, the calculation gives 0.0 Bohr magnetons per cell.